No. 1
Here is an optimized crystal structure of Tl3HgCl6 from the Open Quantum Materials Database. Energies are from PBE.

Output
V   313.1 Å³ per cell
E   -2.6158 eV/atom

Structure (POSCAR):
```
Tl3HgCl6
1.0
-0.513 -6.926 -3.140
-6.836 -3.181 -1.117
-2.729 -0.785 -7.074
Tl Cl Hg
3 6 1
Direct
0.250 0.250 0.250 Tl
0.500 0.500 0.500 Tl
0.750 0.750 0.750 Tl
0.247 0.753 0.753 Cl
0.247 0.247 0.753 Cl
0.247 0.753 0.247 Cl
0.753 0.753 0.247 Cl
0.753 0.247 0.247 Cl
0.753 0.247 0.753 Cl
0.000 0.000 0.000 Hg
```



No. 2
Here is an optimized crystal structure of Hg2W5Cl from the Open Quantum Materials Database. Energies are from PBE.

Output
V   152.2 Å³ per cell
E   -7.0988 eV/atom

Structure (POSCAR):
```
Hg2W5Cl
1.0
-4.958 2.619 -1.663
-2.107 -5.144 -1.819
-1.733 -0.717 4.035
W Cl Hg
5 1 2
Direct
0.287 0.713 0.000 W
0.000 0.000 0.500 W
0.713 0.287 0.000 W
0.287 0.287 0.000 W
0.713 0.713 0.000 W
0.000 0.000 0.000 Cl
0.000 0.500 0.500 Hg
0.500 0.000 0.500 Hg
```



No. 3
Here is an optimized crystal structure of HgW3Cl from the Open Quantum Materials Database. Energies are from PBE.

Output
V   87.4 Å³ per cell
E   -6.6340 eV/atom

Structure (POSCAR):
```
HgW3Cl
1.0
4.438 0.000 0.000
0.000 4.438 0.000
0.000 0.000 4.438
Cl Hg W
1 1 3
Direct
0.500 0.500 0.500 Cl
0.000 0.000 0.000 Hg
0.000 0.500 0.500 W
0.500 0.500 0.000 W
0.500 0.000 0.500 W
```



No. 4
Here is an optimized crystal structure of HoCl from the Open Quantum Materials Database. Energies are from PBE.

Output
V   58.7 Å³ per cell
E   -4.0383 eV/atom

Structure (POSCAR):
```
HoCl
1.0
3.420 -2.688 0.316
-0.474 -4.246 -0.880
1.783 -1.693 -3.602
Ho Cl
1 1
Direct
0.250 0.250 0.250 Ho
0.000 0.000 0.000 Cl
```



No. 5
Here is an optimized crystal structure of Ho3Cl2 from the Open Quantum Materials Database. Energies are from PBE.

Output
V   243.1 Å³ per cell
E   -4.4068 eV/atom

Structure (POSCAR):
```
Ho3Cl2
1.0
-6.806 0.000 0.000
3.403 -5.894 0.000
-3.403 1.965 6.060
Cl Ho
4 6
Direct
0.834 0.166 0.497 Cl
0.334 0.666 0.997 Cl
0.666 0.334 0.003 Cl
0.166 0.834 0.503 Cl
0.593 0.750 0.250 Ho
0.407 0.250 0.750 Ho
0.750 0.907 0.750 Ho
0.907 0.407 0.250 Ho
0.093 0.593 0.750 Ho
0.250 0.093 0.250 Ho
```



No. 6
Here is an optimized crystal structure of HoCl from the Open Quantum Materials Database. Energies are from PBE.

Output
V   44.7 Å³ per cell
E   -4.4552 eV/atom

Structure (POSCAR):
```
HoCl
1.0
-3.010 1.658 0.372
1.611 -1.299 2.768
2.118 3.729 0.518
Ho Cl
1 1
Direct
0.333 0.667 0.250 Ho
0.667 0.333 0.750 Cl
```



No. 7
Here is an optimized crystal structure of HoCl from the Open Quantum Materials Database. Energies are from PBE.

Output
V   42.4 Å³ per cell
E   -4.1544 eV/atom

Structure (POSCAR):
```
HoCl
1.0
2.542 -2.805 0.990
-1.301 -3.410 1.409
0.274 -3.245 -2.169
Cl Ho
1 1
Direct
0.000 0.000 0.000 Cl
0.500 0.500 0.500 Ho
```



No. 8
Here is an optimized crystal structure of Ho2Cl from the Open Quantum Materials Database. Energies are from PBE.

Output
V   196.3 Å³ per cell
E   -3.4785 eV/atom
Energy above the lowest structure with this stoichiometry   1060 meV per atom

Structure (POSCAR):
```
Ho2Cl
1.0
0.000 4.613 4.613
4.613 0.000 4.613
4.613 4.613 0.000
Ho Cl
4 2
Direct
0.125 0.625 0.625 Ho
0.625 0.625 0.625 Ho
0.625 0.125 0.625 Ho
0.625 0.625 0.125 Ho
0.250 0.250 0.250 Cl
0.000 0.000 0.000 Cl
```